Entry 1:
Computed, not measured: a geometry-optimized YCd2TeO6 structure at the GGA-PBE level of DFT.

Summary:
raw formation energy: -134.9 kJ per mole of atoms
electronic total energy: -0.2027 hartree per atom

The structure in CIF format:
```
data_YCd2TeO6
_cell_length_a 5.6990
_cell_length_b 5.6990
_cell_length_c 4.8007
_cell_angle_alpha 90.00
_cell_angle_beta 90.00
_cell_angle_gamma 90.00
_symmetry_space_group_name_H-M 'P 4 m m'
_symmetry_Int_Tables_number 99
loop_
_symmetry_equiv_pos_as_xyz
'x,y,z'
'-y,x,z'
'-x,-y,z'
'y,-x,z'
'-x,y,z'
'y,x,z'
'x,-y,z'
'-y,-x,z'
loop_
_atom_site_label
_atom_site_type_symbol
_atom_site_fract_x
_atom_site_fract_y
_atom_site_fract_z
Y1 Y 0.0000 0.0000 0.0000
Cd1 Cd 0.0000 0.5000 0.4201
Te1 Te 0.5000 0.5000 0.0170
O1 O 0.0000 0.0000 0.5588
O2 O 0.2678 0.2678 0.1371
O3 O 0.5000 0.5000 0.6245
```

---

Entry 2:
Computed, not measured: a geometry-optimized ZnCd2TeO6 structure at the GGA-PBE level of DFT.

Summary:
raw formation energy: -108.7 kJ per mole of atoms
electronic total energy: -0.1737 hartree per atom

The structure in CIF format:
```
data_ZnCd2TeO6
_cell_length_a 5.5428
_cell_length_b 5.5428
_cell_length_c 13.9963
_cell_angle_alpha 90.00
_cell_angle_beta 90.00
_cell_angle_gamma 120.00
_symmetry_space_group_name_H-M 'R 3'
_symmetry_Int_Tables_number 146
_symmetry_space_group_name_Hall 'R 3'
loop_
_atom_site_label
_atom_site_type_symbol
_atom_site_fract_x
_atom_site_fract_y
_atom_site_fract_z
Zn1 Zn 0.0000 0.0000 0.0000
Cd1 Cd 0.0000 0.0000 0.2328
Cd2 Cd 0.0000 0.0000 0.7385
Te1 Te 0.0000 0.0000 0.5102
O1 O 0.0291 0.6198 0.2636
O2 O 0.0695 0.3428 0.1023
```